1.
Below is crystalline CsICl2 at its relaxed geometry, with properties calculated at the PBE-GGA level.

Summary:
ΔE to the lowest computed polymorph (eV per atom): 0.407

Cell: 6.3805 6.3805 6.3805 Å, 51.29 51.29 51.29°
Atoms (fractional coordinates):
Cs  0.0000  0.0000  0.0000
I  0.5000  0.5000  0.5000
Cl  0.2089  0.2089  0.2089
Cl  0.7911  0.7911  0.7911

---

2.
Below is crystalline Na2ReAg at its relaxed geometry, with properties calculated at the PBE-GGA level.

Summary:
ΔE to the lowest computed polymorph (eV per atom): 0.000
Energy of formation from the pure elements (meV per atom): 1315

Cell: 4.9218 4.9218 4.9218 Å, 60.00 60.00 60.00°
Atoms (fractional coordinates):
Na  0.2500  0.2500  0.2500
Na  0.7500  0.7500  0.7500
Re  0.0000  0.0000  0.0000
Ag  0.5000  0.5000  0.5000

---

3.
Below is crystalline Ho2Sc3Zn2 at its relaxed geometry, with properties calculated at the PBE-GGA level.

Summary:
Energy of formation from the pure elements (meV per atom): -126

Cell: 5.8646 5.8646 7.4919 Å, 113.58 113.58 46.28°
Atoms (fractional coordinates):
Ho  0.1364  0.1364  0.2797
Ho  0.8636  0.8636  0.7203
Sc  0.3644  0.3644  0.0433
Sc  0.5000  0.5000  0.5000
Sc  0.6356  0.6356  0.9567
Zn  0.1411  0.1411  0.6911
Zn  0.8589  0.8589  0.3089

---

4.
Below is crystalline NaHg2Au9 at its relaxed geometry, with properties calculated at the PBE-GGA level.

Summary:
Energy of formation from the pure elements (meV per atom): -72

Cell: 9.8300 9.8300 9.8300 Å, 33.07 33.07 33.07°
Atoms (fractional coordinates):
Na  0.0000  0.0000  0.0000
Hg  0.1384  0.1384  0.1384
Hg  0.8616  0.8616  0.8616
Au  0.0812  0.5857  0.5857
Au  0.3331  0.3331  0.3331
Au  0.4143  0.4143  0.9188
Au  0.4143  0.9188  0.4143
Au  0.5000  0.5000  0.5000
Au  0.5857  0.0812  0.5857
Au  0.5857  0.5857  0.0812
Au  0.6669  0.6669  0.6669
Au  0.9188  0.4143  0.4143

---

5.
Below is crystalline Ca2AlOs at its relaxed geometry, with properties calculated at the PBE-GGA level.

Summary:
Energy of formation from the pure elements (meV per atom): 347

Cell: 3.1216 3.1216 9.0817 Å, 90.00 90.00 90.00°
Atoms (fractional coordinates):
Ca  0.0000  0.0000  0.2241
Ca  0.0000  0.0000  0.7759
Al  0.5000  0.5000  0.5000
Os  0.5000  0.5000  0.0000

---

6.
Below is crystalline Sr8Cu2Ni at its relaxed geometry, with properties calculated at the PBE-GGA level.

Summary:
Energy of formation from the pure elements (meV per atom): 4

Cell: 8.1951 8.1951 8.0976 Å, 90.50 90.50 58.84°
Atoms (fractional coordinates):
Sr  0.1981  0.1981  0.6170
Sr  0.2053  0.7123  0.7494
Sr  0.2877  0.7947  0.2506
Sr  0.2895  0.2895  0.1085
Sr  0.7105  0.7105  0.8915
Sr  0.7123  0.2053  0.7494
Sr  0.7947  0.2877  0.2506
Sr  0.8019  0.8019  0.3830
Cu  0.0838  0.0838  0.9561
Cu  0.9162  0.9162  0.0439
Ni  0.0000  0.0000  0.5000

---

7.
Below is crystalline TaCoSb2 at its relaxed geometry, with properties calculated at the PBE-GGA level.

Cell: 6.2921 6.2921 6.2921 Å, 148.19 144.14 48.68°
Atoms (fractional coordinates):
Ta  0.0000  0.0000  0.0000
Co  0.2201  0.7201  0.5000
Sb  0.3998  0.3998  0.0000
Sb  0.6730  0.1730  0.5000

---

8.
Below is crystalline PmDyY3Ho at its relaxed geometry, with properties calculated at the PBE-GGA level.

Summary:
Energy of formation from the pure elements (meV per atom): 21

Cell: 7.9908 7.9908 10.1043 Å, 90.00 90.00 143.18°
Atoms (fractional coordinates):
Pm  0.0007  0.9993  0.7500
Pm  0.9993  0.0007  0.2500
Dy  0.5000  0.5000  0.0000
Dy  0.5000  0.5000  0.5000
Y  0.1664  0.8336  0.9996
Y  0.1664  0.8336  0.5004
Y  0.3327  0.6673  0.7500
Y  0.6673  0.3327  0.2500
Y  0.8336  0.1664  0.0004
Y  0.8336  0.1664  0.4996
Ho  0.3333  0.6667  0.2500
Ho  0.6667  0.3333  0.7500

---

no.,total DFT energy (no corrections) (eV/atom),magnetic moment (μB per formula unit)
1,-2.240,0.00
2,-3.169,3.43
3,-4.512,0.00
4,-2.691,0.00
5,-4.397,0.64
6,-2.490,0.00
7,-6.617,0.00
8,-5.533,0.00